No. 1
# Hf2Hg2F

A relaxed structure of Hf2Hg2F (PBE, Alexandria).

Structure (POSCAR):
```
Hf2Hg2F
1.0
3.9452 0.0000 0.0000
0.0000 3.9452 0.0000
1.9726 1.9726 7.4567
F Hg Hf
1 2 2
Direct
0.0000 0.0000 0.0000
0.2500 0.7500 0.5000
0.7500 0.2500 0.5000
0.5999 0.5999 0.8002
0.4001 0.4001 0.1998
```

As for the uncorrected formation energy: 243 meV per atom. The energy above the most stable polymorph in this dataset is 998.0 meV per atom.

No. 2
# HfInHgF6

A relaxed structure of HfInHgF6 (PBE, Alexandria).

Structure (POSCAR):
```
HfInHgF6
1.0
5.9884 0.0139 -0.0008
3.0057 5.1873 0.0006
0.0006 -0.0008 5.4271
Hg F In Hf
1 6 1 1
Direct
0.6658 0.6664 0.5002
0.1813 0.1820 0.7358
0.6382 0.1805 0.2645
0.1818 0.1817 0.2639
0.1805 0.6377 0.7355
0.6374 0.1810 0.7363
0.1810 0.6371 0.2638
0.0005 0.0002 0.0000
0.3332 0.3333 0.5000
```

As for the uncorrected formation energy: -2682 meV per atom.

No. 3
# HfInHgF2

A relaxed structure of HfInHgF2 (PBE, Alexandria).

Structure (POSCAR):
```
HfInHgF2
1.0
4.2158 0.0000 0.0000
0.0000 5.9364 0.0000
0.0000 0.0000 4.2158
In F Hf Hg
1 2 1 1
Direct
0.0000 0.0000 0.0000
0.5000 0.0000 0.0000
0.0000 0.0000 0.5000
0.5000 0.5000 0.5000
0.0000 0.5000 0.0000
```

As for the uncorrected formation energy: -700 meV per atom.

No. 4
# HfHgIrF2

A relaxed structure of HfHgIrF2 (PBE, Alexandria).

Structure (POSCAR):
```
HfHgIrF2
1.0
4.2561 0.0000 0.0000
0.0000 5.1869 0.0000
0.0000 0.0000 4.2561
Hg Ir Hf F
1 1 1 2
Direct
0.5000 0.5000 0.5000
0.0000 0.0000 0.0000
0.0000 0.5000 0.0000
0.0000 0.0000 0.5000
0.5000 0.0000 0.0000
```

As for the uncorrected formation energy: -358 meV per atom.

No. 5
# LiHfHg2F

A relaxed structure of LiHfHg2F (PBE, Alexandria).

Structure (POSCAR):
```
LiHfHg2F
1.0
5.7312 0.0000 0.0000
0.0000 4.0315 0.0000
0.0000 0.0000 5.7312
Hf Li Hg F
1 1 2 1
Direct
0.0000 0.0000 0.0000
0.5000 0.5000 0.5000
0.0000 0.0000 0.5000
0.5000 0.0000 0.0000
0.0000 0.5000 0.0000
```

As for the uncorrected formation energy: -674 meV per atom. The energy above the most stable polymorph in this dataset is 0.0 meV per atom.

No. 6
# LiHfHg2F

A relaxed structure of LiHfHg2F (PBE, Alexandria).

Structure (POSCAR):
```
LiHfHg2F
1.0
5.5831 0.0000 0.0000
0.0000 6.0920 0.0000
0.0000 0.0000 5.5831
F Hg Hf Li
1 2 1 1
Direct
0.5000 0.5000 0.5000
0.0000 0.0000 0.5000
0.5000 0.0000 0.0000
0.0000 0.0000 0.0000
0.0000 0.5000 0.0000
```

As for the uncorrected formation energy: 460 meV per atom. The energy above the most stable polymorph in this dataset is 1133.6 meV per atom.